(1)
First-principles (PBE) data for an optimized crystal structure of VCd2Os, as listed in the Alexandria database.

relative energy among the computed polymorphs: 322.4 meV per atom
total DFT energy (no corrections): -36.285 eV for the cell shown
density of states at the Fermi level: 1.230 states/eV/atom
ΔH_f (0 K): 4.04 eV per formula unit
space group: I-42d (122)

Cell lengths 7.6375, 7.6375, 6.0125 Å; angles 50.57, 50.57, 90.00 degrees
Fractional coordinates of all 8 atoms:
V (0.2500, 0.7500, 0.5000)
Cd (0.3750, 0.3638, 0.7500)
Os (0.7500, 0.2500, 0.5000)
Cd (0.6362, 0.1250, 0.2500)
Os (0.0000, 0.0000, 0.0000)
Cd (0.1138, 0.6250, 0.2500)
V (0.5000, 0.5000, 0.0000)
Cd (0.8750, 0.8862, 0.7500)

(2)
First-principles (PBE) data for an optimized crystal structure of CdOs2W, as listed in the Alexandria database.

total DFT energy (no corrections): -34.286 eV for the cell shown
density of states at the Fermi level: 0.896 states/eV/atom
ΔH_f (0 K): 2.04 eV per formula unit
space group: Pm (6)

Cell lengths 4.0483, 2.8032, 6.3343 Å; angles 63.77, 90.00, 90.00 degrees
Fractional coordinates of all 4 atoms:
Cd (0.5000, 0.7402, 0.7583)
Os (0.0000, 0.9839, 0.0170)
W (0.0000, 0.5253, 0.4657)
Os (0.5000, 0.2506, 0.2590)

(3)
First-principles (PBE) data for an optimized crystal structure of CdOs4W, as listed in the Alexandria database.

total DFT energy (no corrections): -54.982 eV for the cell shown
density of states at the Fermi level: 0.891 states/eV/atom
ΔH_f (0 K): 3.81 eV per formula unit
space group: F-43m (216)

Cell lengths 5.1690, 5.1690, 5.1690 Å; angles 60.00, 60.00, 60.00 degrees
Fractional coordinates of all 6 atoms:
Os (0.3747, 0.8758, 0.3747)
Os (0.3747, 0.3747, 0.3747)
Os (0.3747, 0.3747, 0.8758)
Cd (0.0000, 0.0000, 0.0000)
W (0.7500, 0.7500, 0.7500)
Os (0.8758, 0.3747, 0.3747)

(4)
First-principles (PBE) data for an optimized crystal structure of Cd2OsW, as listed in the Alexandria database.

relative energy among the computed polymorphs: 28.8 meV per atom
total DFT energy (no corrections): -24.901 eV for the cell shown
density of states at the Fermi level: 0.707 states/eV/atom
ΔH_f (0 K): 1.11 eV per formula unit
space group: R3m (160)

Cell lengths 10.2436, 10.2436, 10.2436 Å; angles 16.10, 16.10, 16.10 degrees
Fractional coordinates of all 4 atoms:
Cd (0.2428, 0.2428, 0.2428)
Os (0.4928, 0.4928, 0.4928)
Cd (0.0062, 0.0062, 0.0062)
W (0.7582, 0.7582, 0.7582)

(5)
First-principles (PBE) data for an optimized crystal structure of Cd2OsW, as listed in the Alexandria database.

relative energy among the computed polymorphs: 384.5 meV per atom
total DFT energy (no corrections): -23.478 eV for the cell shown
density of states at the Fermi level: 0.403 states/eV/atom
ΔH_f (0 K): 2.54 eV per formula unit
space group: C2/m (12)

Cell lengths 5.2829, 5.2829, 4.6224 Å; angles 76.11, 76.11, 33.80 degrees
Fractional coordinates of all 4 atoms:
Cd (0.0045, 0.0045, 0.9960)
Cd (0.4955, 0.4955, 0.5040)
W (0.2500, 0.2500, 0.2500)
Os (0.7500, 0.7500, 0.7500)

(6)
First-principles (PBE) data for an optimized crystal structure of CdOs2W, as listed in the Alexandria database.

total DFT energy (no corrections): -34.452 eV for the cell shown
density of states at the Fermi level: 0.813 states/eV/atom
ΔH_f (0 K): 1.88 eV per formula unit
space group: Cmmm (65)

Cell lengths 2.7729, 2.7729, 9.3562 Å; angles 90.00, 90.00, 115.00 degrees
Fractional coordinates of all 4 atoms:
Os (0.0000, 0.0000, 0.0176)
Cd (0.5000, 0.5000, 0.7500)
Os (0.0000, 0.0000, 0.4824)
W (0.5000, 0.5000, 0.2500)

(7)
First-principles (PBE) data for an optimized crystal structure of CdOsW2, as listed in the Alexandria database.

total DFT energy (no corrections): -36.571 eV for the cell shown
density of states at the Fermi level: 0.765 states/eV/atom
ΔH_f (0 K): 1.48 eV per formula unit
space group: R-3m (166)

Cell lengths 9.7464, 9.7464, 9.7464 Å; angles 16.65, 16.65, 16.65 degrees
Fractional coordinates of all 4 atoms:
W (0.4939, 0.4939, 0.4939)
W (0.0061, 0.0061, 0.0061)
Os (0.7500, 0.7500, 0.7500)
Cd (0.2500, 0.2500, 0.2500)

(8)
First-principles (PBE) data for an optimized crystal structure of CdOsW2, as listed in the Alexandria database.

total DFT energy (no corrections): -35.991 eV for the cell shown
density of states at the Fermi level: 1.083 states/eV/atom
ΔH_f (0 K): 2.06 eV per formula unit
space group: Cmmm (65)

Cell lengths 2.7552, 2.7552, 9.5889 Å; angles 90.00, 90.00, 112.98 degrees
Fractional coordinates of all 4 atoms:
Os (0.5000, 0.5000, 0.7500)
Cd (0.5000, 0.5000, 0.2500)
W (0.0000, 0.0000, 0.5188)
W (0.0000, 0.0000, 0.9812)

(9)
First-principles (PBE) data for an optimized crystal structure of CdOs2W, as listed in the Alexandria database.

total DFT energy (no corrections): -34.432 eV for the cell shown
density of states at the Fermi level: 0.875 states/eV/atom
ΔH_f (0 K): 1.90 eV per formula unit
space group: C2/m (12)

Cell lengths 4.8750, 4.8750, 5.0207 Å; angles 79.19, 79.19, 33.85 degrees
Fractional coordinates of all 4 atoms:
Cd (0.2500, 0.2500, 0.2500)
W (0.7500, 0.7500, 0.7500)
Os (0.0156, 0.0156, 0.9645)
Os (0.4844, 0.4844, 0.5355)

(10)
First-principles (PBE) data for an optimized crystal structure of CdOsW2, as listed in the Alexandria database.

total DFT energy (no corrections): -36.075 eV for the cell shown
density of states at the Fermi level: 0.759 states/eV/atom
ΔH_f (0 K): 1.98 eV per formula unit
space group: Pmm2 (25)

Cell lengths 2.8433, 4.0404, 5.8753 Å; angles 90.00, 90.00, 90.00 degrees
Fractional coordinates of all 4 atoms:
Os (0.5000, 0.5000, 0.7884)
W (0.5000, 0.5000, 0.2207)
W (0.0000, 0.0000, 0.9896)
Cd (0.0000, 0.0000, 0.5013)

(11)
First-principles (PBE) data for an optimized crystal structure of Cd2OsW, as listed in the Alexandria database.

relative energy among the computed polymorphs: 548.5 meV per atom
total DFT energy (no corrections): -22.822 eV for the cell shown
density of states at the Fermi level: 1.058 states/eV/atom
ΔH_f (0 K): 3.19 eV per formula unit
space group: Pmmm (47)

Cell lengths 2.8315, 4.6015, 5.3936 Å; angles 90.00, 90.00, 90.00 degrees
Fractional coordinates of all 4 atoms:
W (0.5000, 0.5000, 0.7500)
Os (0.5000, 0.5000, 0.2500)
Cd (0.0000, 0.0000, 0.4987)
Cd (0.0000, 0.0000, 0.0013)

(12)
First-principles (PBE) data for an optimized crystal structure of CdOs2W, as listed in the Alexandria database.

total DFT energy (no corrections): -34.369 eV for the cell shown
density of states at the Fermi level: 0.955 states/eV/atom
ΔH_f (0 K): 1.96 eV per formula unit
space group: Cm (8)

Cell lengths 5.0929, 5.0929, 4.8325 Å; angles 77.72, 77.72, 31.98 degrees
Fractional coordinates of all 4 atoms:
Os (0.7327, 0.7327, 0.7281)
W (0.4844, 0.4844, 0.5411)
Cd (0.2615, 0.2615, 0.2216)
Os (0.0214, 0.0214, 0.0091)